(1)
## Ac5Cd (GGA-PBE)

Data for a geometry-optimized Ac5Cd structure.

```
Ac5Cd
1.0
2.7072 -8.3025 0.0000
2.7072 8.3025 0.0000
0.0000 0.0000 5.4670
Ac Cd
5 1
Direct
0.0000 0.0000 0.0000 Ac
0.1634 0.8366 0.5000 Ac
0.3361 0.6639 0.0000 Ac
0.6639 0.3361 0.0000 Ac
0.8366 0.1634 0.5000 Ac
0.5000 0.5000 0.5000 Cd
```

- raw total energy (eV/atom) = -3.60
- size of the total moment (μB/atom) = 0.000

***

(2)
## CdCl2F2 (GGA-PBE)

Data for a geometry-optimized CdCl2F2 structure.

```
CdCl2F2
1.0
6.0085 0.0000 0.0000
0.0000 6.0085 0.0000
0.0000 0.0000 6.3082
Cd Cl F
2 4 4
Direct
0.0000 0.0000 0.0000 Cd
0.5000 0.5000 0.0000 Cd
0.1174 0.3826 0.5000 Cl
0.3826 0.8826 0.5000 Cl
0.6174 0.1174 0.5000 Cl
0.8826 0.6174 0.5000 Cl
0.2010 0.7010 0.0000 F
0.2990 0.2010 0.0000 F
0.7010 0.7990 0.0000 F
0.7990 0.2990 0.0000 F
```

- raw total energy (eV/atom) = -2.79
- formation energy without anion corrections (meV/atom) = -1116
- size of the total moment (μB/atom) = 0.000